This record from Alexandria via LeMat-Bulk describes a geometry-optimized RbYAs2Br structure. The functional is PBE.

Calculated values
Crystal system: tetragonal
Symmetry: P4/mmm, No. 123
Total DFT energy (no corrections) in eV/atom: -4.314
D(E_F) in states/eV/f.u.: 3.538
Energy relative to the lowest polymorph listed for this composition in eV per formula unit: 0.00

abc: 5.531 5.531 5.854
angles: 90.00 90.00 90.00
Site moments in Bohr magnetons follow the coordinates.
Atoms (fractional coordinates):
Y: 0.000 0.000 0.000  0.01
As: 0.000 0.500 0.000  0.19
As: 0.500 0.000 0.000  0.19
Br: 0.000 0.000 0.500  0.07
Rb: 0.500 0.500 0.500  0.00